RbAsCBr2: relaxed, PBE.

```
RbAsCBr2
1.0
6.054 0.000 0.000
0.000 6.054 0.000
0.000 0.000 3.756
Rb As C Br
1 1 1 2
direct
0.000 0.000 0.000
0.500 0.500 0.000
0.500 0.500 0.500
0.000 0.500 0.500
0.500 0.000 0.500
```

As for the polymorph energy (0 for the lowest one): 0.00 eV per formula unit. The calculated density comes out at 4.007 g/cm³. The value obtained for the total magnetization is 0.0 Bohr magnetons per cell. The space group is No. 123.